1.
4
Lattice="0.000 3.862 3.862 3.862 0.000 3.862 3.862 3.862 0.000" Properties=species:S:1:pos:R:3 comment="SrLaHg2 meta-GGA SCAN PBEsol geometry" formation_enthalpy_0k_kj_per_mol_atoms=-70 energy_ev_per_atom=-51.15 total_magnetization_mub_per_cell=0.000 spacegroup="No. 225" pbc="T T T"
Sr 0.000 0.000 0.000
La 3.862 3.862 3.862
Hg 1.931 1.931 1.931
Hg 5.793 5.793 5.793

2.
4
Lattice="3.857 0.000 0.000 0.000 3.857 0.000 0.000 0.000 7.811" Properties=species:S:1:pos:R:3 comment="SrLaHg2 meta-GGA SCAN PBEsol geometry" formation_enthalpy_0k_kj_per_mol_atoms=-70 energy_ev_per_atom=-51.15 total_magnetization_mub_per_cell=0.000 spacegroup="No. 123" pbc="T T T"
Sr 0.000 0.000 0.000
La 0.000 0.000 3.906
Hg 1.929 1.929 2.052
Hg 1.929 1.929 5.759

3.
4
Lattice="3.820 0.000 0.000 0.000 5.501 0.000 0.000 0.000 5.501" Properties=species:S:1:pos:R:3 comment="SrLaHg2 meta-GGA SCAN PBEsol geometry" formation_enthalpy_0k_kj_per_mol_atoms=-70 energy_ev_per_atom=-51.15 total_magnetization_mub_per_cell=0.000 spacegroup="No. 25" pbc="T T T"
Sr 0.000 0.000 0.000
La 0.000 2.751 2.755
Hg 1.910 0.000 2.750
Hg 1.910 2.751 0.007

4.
4
Lattice="3.893 0.000 0.000 0.000 3.893 0.000 0.000 0.000 10.071" Properties=species:S:1:pos:R:3 comment="Sr2LaHg meta-GGA SCAN PBEsol geometry" formation_enthalpy_0k_kj_per_mol_atoms=-32 energy_ev_per_atom=-39.29 total_magnetization_mub_per_cell=0.750 spacegroup="No. 99" pbc="T T T"
Sr 0.000 0.000 0.000
Sr 1.946 1.946 3.352
La 1.946 1.946 7.103
Hg 0.000 0.000 5.356